[1]
! MgMnF5 GGA-PBEsol optimized geometry; values from VASP
! - formation energy without anion corrections (eV/f.u.) = -19.87
! - space-group type = P-1, No. 2
! - total moment (μB/atom) = 0.571
&SYSTEM
  ibrav = 0, nat = 14, ntyp = 3
/
ATOMIC_SPECIES
Mg 24.30 Mg.upf
Mn 54.94 Mn.upf
F 19.00 F.upf
CELL_PARAMETERS angstrom
-3.5559 3.6426 -0.2177
0.9004 -1.9052 -4.9285
-4.0632 -4.9904 3.4117
ATOMIC_POSITIONS crystal
Mg 0.4679 0.2551 0.7791
Mg 0.5321 0.7449 0.2209
Mn 0.0000 0.0000 0.0000
Mn 0.0000 0.5000 0.5000
F 0.8646 0.0992 0.2657
F 0.1354 0.9008 0.7343
F 0.7966 0.6081 0.3368
F 0.2578 0.8821 0.1095
F 0.2998 0.3440 0.0386
F 0.3268 0.6833 0.4258
F 0.7002 0.6560 0.9614
F 0.6732 0.3167 0.5742
F 0.7422 0.1179 0.8905
F 0.2034 0.3919 0.6632

[2]
! MgMoF2 GGA-PBEsol optimized geometry; values from VASP
! - formation energy without anion corrections (eV/f.u.) = -6.78
! - space-group type = R-3m, No. 166
! - total moment (μB/atom) = 0.000
! - ΔE to the lowest computed polymorph (eV/atom) = 0.0000
&SYSTEM
  ibrav = 0, nat = 4, ntyp = 3
/
ATOMIC_SPECIES
Mo 95.94 Mo.upf
Mg 24.30 Mg.upf
F 19.00 F.upf
CELL_PARAMETERS angstrom
2.7820 0.0000 0.0000
1.3910 2.4093 0.0000
1.3910 0.8031 9.2133
ATOMIC_POSITIONS crystal
Mo 0.0000 0.0000 0.0000
Mg 0.5000 0.5000 0.5000
F 0.8714 0.8714 0.3858
F 0.1286 0.1286 0.6142

[3]
! MgMoF2 GGA-PBEsol optimized geometry; values from VASP
! - formation energy without anion corrections (eV/f.u.) = -1.73
! - space-group type = Fm-3m, No. 225
! - total moment (μB/atom) = 1.017
! - ΔE to the lowest computed polymorph (eV/atom) = 1.2615
&SYSTEM
  ibrav = 0, nat = 4, ntyp = 3
/
ATOMIC_SPECIES
Mo 95.94 Mo.upf
Mg 24.30 Mg.upf
F 19.00 F.upf
CELL_PARAMETERS angstrom
-3.6485 -2.0989 0.9216
0.0603 -3.3240 2.7410
-1.7846 0.3927 3.9022
ATOMIC_POSITIONS crystal
Mo 0.5000 0.5000 0.5000
Mg 0.0000 0.0000 0.0000
F 0.2500 0.2500 0.2500
F 0.7500 0.7500 0.7500

[4]
! MgMoSeF2 GGA-PBEsol optimized geometry; values from VASP
! - formation energy without anion corrections (eV/f.u.) = -7.34
! - space-group type = P4/mmm, No. 123
! - total moment (μB/atom) = 0.755
&SYSTEM
  ibrav = 0, nat = 5, ntyp = 4
/
ATOMIC_SPECIES
Mo 95.94 Mo.upf
Mg 24.30 Mg.upf
Se 78.96 Se.upf
F 19.00 F.upf
CELL_PARAMETERS angstrom
3.7553 0.0000 0.0000
0.0000 3.7553 0.0000
0.0000 0.0000 5.9156
ATOMIC_POSITIONS crystal
Mo 0.5000 0.5000 0.5000
Mg 0.0000 0.0000 0.0000
Se 0.0000 0.0000 0.5000
F 0.0000 0.5000 0.0000
F 0.5000 0.0000 0.0000

[5]
! Mg3NF3 GGA-PBEsol optimized geometry; values from VASP
! - formation energy without anion corrections (eV/f.u.) = -18.25
! - space-group type = Pm-3m, No. 221
! - total moment (μB/atom) = 0.000
&SYSTEM
  ibrav = 0, nat = 7, ntyp = 3
/
ATOMIC_SPECIES
Mg 24.30 Mg.upf
N 14.01 N.upf
F 19.00 F.upf
CELL_PARAMETERS angstrom
4.2180 0.0000 0.0000
0.0000 4.2180 0.0000
0.0000 0.0000 4.2180
ATOMIC_POSITIONS crystal
Mg 0.5000 0.0000 0.5000
Mg 0.5000 0.5000 0.0000
Mg 0.0000 0.5000 0.5000
N 0.5000 0.5000 0.5000
F 0.0000 0.5000 0.0000
F 0.0000 0.0000 0.5000
F 0.5000 0.0000 0.0000

[6]
! MgNiN2F GGA-PBEsol optimized geometry; values from VASP
! - formation energy without anion corrections (eV/f.u.) = -0.05
! - space-group type = P4/mmm, No. 123
! - total moment (μB/atom) = 0.034
&SYSTEM
  ibrav = 0, nat = 5, ntyp = 4
/
ATOMIC_SPECIES
Ni 58.69 Ni.upf
Mg 24.30 Mg.upf
N 14.01 N.upf
F 19.00 F.upf
CELL_PARAMETERS angstrom
-2.7066 0.3676 -2.1809
2.0886 -0.7089 -2.7115
-0.9518 -4.4517 0.4307
ATOMIC_POSITIONS crystal
Ni 0.0000 0.0000 0.0000
Mg 0.5000 0.5000 0.5000
N 0.0000 0.5000 0.0000
N 0.5000 0.0000 0.0000
F 0.0000 0.0000 0.5000

Question: Look up the formation energy without anion corrections of the first one.
Answer: -19.87 eV/f.u.